TmPaCrO6: optimized geometry, PBE+U. Values from VASP.

```
&SYSTEM
  ibrav = 0, nat = 9, ntyp = 4
/
ATOMIC_SPECIES
Tm 168.93 Tm.upf
Pa 231.04 Pa.upf
Cr 52.00 Cr.upf
O 16.00 O.upf
ATOMIC_POSITIONS crystal
Tm 0.000 0.000 0.000
Pa 0.667 0.333 0.500
Cr 0.333 0.667 0.000
O 0.022 0.369 0.233
O 0.022 0.653 0.767
O 0.347 0.369 0.767
O 0.347 0.978 0.233
O 0.631 0.653 0.233
O 0.631 0.978 0.767
CELL_PARAMETERS angstrom
5.314 0.000 0.000
-2.657 4.602 0.000
0.000 0.000 4.791
```

Calculated values
M_tot, μB per formula unit: 2.00
Raw total energy, eV per atom: -8.5569